# 1
Here is an optimized crystal structure of Tm6Al2Pb from Alexandria. Energies are from PBE.

Values from the calculation:
* total magnetization: 0.00 μB per atom
* crystal system: orthorhombic
* E: -4.521 eV/atom

```
Tm6Al2Pb
1.0
-4.7536 4.8393 5.3202
4.7536 -4.8393 5.3202
4.7536 4.8393 -5.3202
Tm Al Pb
12 4 2
Cartesian
4.7536 -2.8612 3.4140
2.7988 0.0000 2.5812
6.7084 0.0000 2.5812
2.9853 2.6747 0.0000
6.5219 2.6747 0.0000
0.0000 1.9781 1.9062
4.7536 2.8612 3.4140
-1.7683 2.1645 5.3202
1.7683 2.1645 5.3202
-1.9548 4.8393 2.7390
1.9548 4.8393 2.7390
0.0000 7.7005 1.9062
1.3577 0.0000 0.0000
8.1495 0.0000 0.0000
0.0000 0.0000 4.0393
0.0000 0.0000 6.6011
4.7536 0.0000 0.0000
0.0000 4.8393 0.0000
```

***

# 2
Here is an optimized crystal structure of Tm8AlPb5 from Alexandria. Energies are from PBE.

Values from the calculation:
* total magnetization: 0.00 μB per atom
* crystal system: tetragonal
* E: -4.571 eV/atom

```
Tm8AlPb5
1.0
-4.6147 4.6147 4.6249
4.6147 -4.6147 4.6249
4.6147 4.6147 -4.6249
Tm Al Pb
8 1 5
Cartesian
6.3263 0.6376 -0.4970
1.6289 -0.6604 2.7462
2.9858 5.2751 -1.8786
0.6376 2.9031 0.4970
3.9543 2.9858 1.8786
3.9771 1.7116 5.1219
-1.7116 3.9771 4.1278
0.6604 1.6289 6.5035
0.0000 0.0000 0.0000
3.4798 2.3143 -1.1299
4.6147 0.0000 2.3124
2.3004 -1.1349 5.7548
1.1349 2.3004 3.4949
2.3143 5.7496 1.1299
```

***

# 3
Here is an optimized crystal structure of TmAlPb from Alexandria. Energies are from PBE.

Values from the calculation:
* total magnetization: 0.00 μB per atom
* crystal system: orthorhombic
* E: -4.230 eV/atom
* distance to the lowest polymorph of the same formula: 0.0 kJ/mol of atoms

```
TmAlPb
1.0
4.6268 0.0000 0.0000
0.0000 15.1945 0.0000
0.0000 0.0000 4.2835
Tm Al Pb
4 4 4
Cartesian
0.0000 1.2976 1.0709
0.0000 13.8968 3.2126
2.3134 6.2996 3.2126
2.3134 8.8948 1.0709
0.0000 6.7634 1.0709
0.0000 8.4310 3.2126
2.3134 0.8338 3.2126
2.3134 14.3607 1.0709
0.0000 3.9723 3.2126
0.0000 11.2221 1.0709
2.3134 3.6249 1.0709
2.3134 11.5696 3.2126
```

***

# 4
Here is an optimized crystal structure of TmAlPb2 from Alexandria. Energies are from PBE.

Values from the calculation:
* total magnetization: 0.00 μB per atom
* crystal system: tetragonal
* E: -4.070 eV/atom
* distance to the lowest polymorph of the same formula: 0.0 kJ/mol of atoms

```
TmAlPb2
1.0
4.7287 0.0000 0.0000
0.0000 4.7287 0.0000
0.0000 0.0000 4.5888
Tm Al Pb
1 1 2
Cartesian
0.0000 0.0000 0.0000
2.3643 2.3643 0.0000
0.0000 2.3643 2.2944
2.3643 0.0000 2.2944
```

***

# 5
Here is an optimized crystal structure of Tm2AlPb from Alexandria. Energies are from PBE.

Values from the calculation:
* total magnetization: 0.00 μB per atom
* crystal system: trigonal
* E: -4.362 eV/atom

```
Tm2AlPb
1.0
3.5440 0.0000 0.0000
-1.7720 3.0692 0.0000
0.0000 0.0000 29.1460
Tm Al Pb
6 3 3
Cartesian
0.0000 0.0000 7.0626
0.0000 0.0000 22.0834
0.0000 2.0461 12.3680
0.0000 2.0461 26.4933
1.7720 1.0231 2.6527
1.7720 1.0231 16.7779
0.0000 0.0000 14.5730
0.0000 2.0461 4.8577
1.7720 1.0231 24.2883
0.0000 0.0000 0.0000
0.0000 2.0461 19.4307
1.7720 1.0231 9.7153
```

***

# 6
Here is an optimized crystal structure of Tm3Al2Pb2 from Alexandria. Energies are from PBE.

Values from the calculation:
* total magnetization: 0.00 μB per atom
* crystal system: orthorhombic
* E: -4.332 eV/atom

```
Tm3Al2Pb2
1.0
3.4767 0.0000 0.0000
0.0000 4.9690 0.0000
0.0000 0.0000 20.1087
Tm Al Pb
6 4 4
Cartesian
0.0000 0.0000 0.0000
0.0000 2.4845 3.8879
0.0000 2.4845 16.2208
1.7384 0.0000 6.1665
1.7384 0.0000 13.9422
1.7384 2.4845 10.0544
0.0000 0.0000 8.7848
0.0000 0.0000 11.3239
1.7384 2.4845 1.2696
1.7384 2.4845 18.8392
0.0000 2.4845 7.0936
0.0000 2.4845 13.0152
1.7384 0.0000 2.9608
1.7384 0.0000 17.1479
```

***

What is the total magnetization in the third record?
0.00 μB per atom